[1]
CsMnF3 SCAN single point on PBEsol structure; formation energy from raw total energies = -2.97 eV per atom
1.0
-2.695 0.437 5.541
0.897 -5.545 -2.570
13.450 -0.889 6.613
F Mn Cs
18 6 6
Cartesian
12.687 -5.375 4.860
8.094 -5.071 2.601
1.210 -2.460 5.730
9.655 -5.769 5.152
0.323 -0.843 1.931
12.235 -2.580 6.155
2.387 -2.650 3.310
4.009 -3.721 5.687
-0.584 -3.418 3.429
3.557 -0.926 6.982
6.735 -4.851 5.394
10.441 -3.538 3.854
-1.036 -0.623 4.724
9.264 -3.348 6.274
1.996 -0.229 4.432
4.916 -1.147 4.190
7.642 -2.277 3.897
11.328 -5.155 7.652
6.725 -0.445 3.306
8.465 -4.131 4.444
0.000 0.000 0.000
3.186 -1.867 5.140
11.108 -4.306 5.743
0.543 -1.692 3.841
1.003 -3.637 0.774
3.362 -0.222 1.653
5.121 -3.910 2.799
10.649 -2.361 8.809
6.530 -2.088 6.784
10.087 -0.667 4.959



[2]
P2PtPb SCAN single point on PBEsol structure; energy relative to the elements = 0.65 eV/atom
1.0
3.075 0.000 0.000
0.000 4.799 0.000
0.000 0.000 4.799
P Pt Pb
2 1 1
Cartesian
0.000 2.399 0.000
0.000 0.000 2.399
1.537 0.000 0.000
1.537 2.399 2.399



[3]
YBe2Si SCAN single point on PBEsol structure; formation energy from raw total energies = -0.35 eV per atom
1.0
3.705 0.000 0.000
1.852 3.208 0.000
1.852 1.069 4.992
Y Be Si
1 2 1
Cartesian
1.852 1.069 1.161
1.852 1.069 4.194
5.557 3.208 3.937
3.705 2.139 3.154



[4]
CoHS2 SCAN single point on PBEsol structure; calculated total energy = -41.42 eV/f.u.
1.0
-2.998 0.500 -1.446
-2.762 -1.392 1.328
-2.668 4.125 3.040
S Co H
2 1 1
Cartesian
-2.443 2.794 2.113
-5.985 0.439 0.810
-4.214 1.616 1.461
0.000 0.000 0.000



[5]
YSc2Se SCAN single point on PBEsol structure; formation energy from raw total energies = -0.41 eV per atom
1.0
-2.125 0.095 -3.504
-3.421 -0.953 2.048
-1.002 5.206 0.749
Sc Y Se
2 1 1
Cartesian
-1.063 0.048 -1.752
-1.710 -0.476 1.024
-0.501 2.603 0.374
-3.274 2.174 -0.354



[6]
CaFe2P SCAN single point on PBEsol structure; energy relative to the elements = 0.14 eV/atom
1.0
4.329 0.000 0.000
2.164 3.749 0.000
2.164 1.250 3.534
Fe P Ca
2 1 1
Cartesian
0.000 0.000 0.000
6.493 3.749 2.651
2.164 1.250 0.884
4.329 2.499 1.767



[7]
HfTl2CoRu SCAN single point on PBEsol structure; energy relative to the elements = 0.82 eV/atom
1.0
4.774 0.000 0.000
0.000 5.101 0.000
0.000 0.000 5.101
Hf Tl Co Ru
1 2 1 1
Cartesian
2.387 0.000 0.000
0.000 2.550 0.000
0.000 0.000 2.550
2.387 2.550 2.550
0.000 0.000 0.000



[8]
ZrReN2F SCAN single point on PBEsol structure; formation energy from raw total energies = 0.15 eV per atom
1.0
3.920 0.000 0.000
0.000 4.239 0.000
0.000 0.000 4.239
N F Re Zr
2 1 1 1
Cartesian
0.000 0.000 2.119
0.000 2.119 0.000
1.960 0.000 0.000
1.960 2.119 2.119
0.000 0.000 0.000